(1)
The following is a DFT calculation (PBE) of a relaxed Sn2RhPb2 crystal.

Cell lengths 7.043, 7.043, 5.260 Å; angles 90.00, 90.00, 90.00 degrees
Space group P4/mbm (No. 127)
Symmetry-distinct sites (fractional):
Sn  0.151  0.349  0.000 (multiplicity 4)
Rh  0.000  0.000  0.000 (multiplicity 2)
Pb  0.171  0.671  0.500 (multiplicity 4)

(2)
The following is a DFT calculation (PBE) of a relaxed Pu2Ga2Os crystal.

Cell lengths 10.483, 4.164, 10.051 Å; angles 90.00, 108.97, 90.00 degrees
Space group C2/m (No. 12)
Symmetry-distinct sites (fractional):
Pu  0.009  0.000  0.340 (multiplicity 4)
Pu  0.198  0.000  0.105 (multiplicity 4)
Ga  0.016  0.500  0.881 (multiplicity 4)
Ga  0.164  0.500  0.555 (multiplicity 4)
Os  0.218  0.500  0.307 (multiplicity 4)

(3)
The following is a DFT calculation (PBE) of a relaxed Cr2CuAg crystal.

Cell lengths 9.075, 3.060, 4.547 Å; angles 90.00, 110.09, 90.00 degrees
Space group Cm (No. 8)
Symmetry-distinct sites (fractional):
Cr  0.000  0.000  0.000 (multiplicity 2)
Cr  0.232  0.500  0.184 (multiplicity 2)
Cu  0.480  0.000  0.477 (multiplicity 2)
Ag  0.232  0.000  0.682 (multiplicity 2)

(4)
The following is a DFT calculation (PBE) of a relaxed MnV crystal.

Cell lengths 6.891, 6.891, 6.891 Å; angles 90.00, 90.00, 90.00 degrees
Space group I-43m (No. 217)
Symmetry-distinct sites (fractional):
Mn  0.126  0.126  0.874 (multiplicity 8)
V  0.220  0.220  0.220 (multiplicity 8)

(5)
The following is a DFT calculation (PBE) of a relaxed MgHg2Cl crystal.

Cell lengths 7.453, 7.453, 7.453 Å; angles 90.00, 90.00, 90.00 degrees
Space group Fm-3m (No. 225)
Symmetry-distinct sites (fractional):
Mg  0.000  0.000  0.000 (multiplicity 4)
Hg  0.250  0.250  0.250 (multiplicity 8)
Cl  0.000  0.000  0.500 (multiplicity 4)

Output
**ΔE_f (raw)**: -201 meV per atom

(6)
The following is a DFT calculation (PBE) of a relaxed Pm5DyIn3 crystal.

Cell lengths 9.5393, 9.5393, 6.8659 Å; angles 90.00, 90.00, 120.00 degrees
Space group P6_3/mcm (No. 193)
Symmetry-distinct sites (fractional):
Pm  0.0000  0.3365  0.2500 (multiplicity 6)
Pm  0.3333  0.6667  0.0000 (multiplicity 4)
Dy  0.0000  0.0000  0.0000 (multiplicity 2)
In  0.0000  0.3273  0.7500 (multiplicity 6)

| no. | DFT total energy (eV per atom) | density of states at the Fermi level (states/eV per atom) |
| --- | --- | --- |
| 1 | -4.568 | 0.8085 |
| 2 | -9.402 | 2.8333 |
| 3 | -6.142 | 0.6075 |
| 4 | -7.602 | 0.7394 |
| 5 | -1.212 | 0.2893 |
| 6 | -4.411 | 1.3524 |